No. 1
Computed, not measured: a geometry-optimized K3C2O6 structure at the PBE-GGA level of DFT.

Output
polymorph energy (0 for the lowest one): 0 meV/atom

a b c (Å): 5.3470 7.2334 10.1463
angles (deg): 90.00 90.00 90.00
Closest atoms and distances in Å follow each position.
Fractional coordinates of all 22 atoms:
K1 0.5000 0.5000 0.5000  6 O 2.68-2.81
K2 0.0000 0.5000 0.8135  6 O 2.78-2.82
C1 0.9786 0.7606 0.5000  3 O 1.29-1.30
C2 0.0214 0.2394 0.5000  3 O 1.29-1.30
O1 0.3607 0.7633 0.8898  1 C 1.30
O2 0.7870 0.1965 0.5000  1 C 1.29
C3 0.5214 0.2606 0.0000  3 O 1.29-1.30
O3 0.2870 0.3035 0.0000  1 C 1.29
K3 0.5000 0.0000 0.6865  6 O 2.78-2.82
O4 0.1393 0.2633 0.6102  1 C 1.30
O5 0.7130 0.6965 0.0000  1 C 1.29
C4 0.4786 0.7394 0.0000  3 O 1.29-1.30
O6 0.6393 0.2367 0.1102  1 C 1.30
O7 0.8607 0.7367 0.3898  1 C 1.30
K4 0.0000 0.5000 0.1865  6 O 2.78-2.82
O8 0.2130 0.8035 0.5000  1 C 1.29
O9 0.3607 0.7633 0.1102  1 C 1.30
K5 0.0000 0.0000 0.0000  6 O 2.68-2.81
O10 0.8607 0.7367 0.6102  1 C 1.30
K6 0.5000 0.0000 0.3135  6 O 2.78-2.82
O11 0.6393 0.2367 0.8898  1 C 1.30
O12 0.1393 0.2633 0.3898  1 C 1.30

***

No. 2
Computed, not measured: a geometry-optimized K3C2O6 structure at the PBE-GGA level of DFT.

Output
polymorph energy (0 for the lowest one): 1173 meV/atom

a b c (Å): 3.5997 3.5997 11.4079
angles (deg): 99.08 99.08 90.00
Closest atoms and distances in Å follow each position.
Fractional coordinates of all 11 atoms:
O1 0.4048 0.9048 0.8097  2 C 1.91
C1 0.6234 0.6234 0.2468  1 O 1.25
O2 0.0952 0.5952 0.1903  2 C 1.91
O3 0.9048 0.4048 0.8097  2 C 1.91
K1 0.1855 0.1855 0.3710  8 O 2.55-2.70
C2 0.3766 0.3766 0.7532  1 O 1.25
O4 0.6795 0.6795 0.3589  1 C 1.25
O5 0.3205 0.3205 0.6411  1 C 1.25
O6 0.5952 0.0952 0.1903  2 C 1.91
K2 0.0000 0.0000 0.0000  8 O 2.78
K3 0.8145 0.8145 0.6290  8 O 2.55-2.70

***

No. 3
Computed, not measured: a geometry-optimized K2CO3 structure at the PBE-GGA level of DFT.

Output
electronic total energy: -6.13 eV per atom

a b c (Å): 5.9489 5.9525 7.1042
angles (deg): 65.27 65.26 62.14
Closest atoms and distances in Å follow each position.
Fractional coordinates of all 12 atoms:
K1 0.0048 0.8255 0.3071  6 O 2.69-2.87
O1 0.3776 0.8886 0.8960  1 C 1.30
O2 0.1860 0.3136 0.2500  1 C 1.32
O3 0.6224 0.1114 0.1040  1 C 1.30
C1 0.5994 0.9004 0.7502  3 O 1.30-1.32
O4 0.6105 0.1223 0.6046  1 C 1.30
K2 0.9952 0.1745 0.6929  6 O 2.69-2.87
K3 0.3255 0.5052 0.8070  6 O 2.69-2.86
O5 0.8140 0.6864 0.7500  1 C 1.32
O6 0.3895 0.8777 0.3954  1 C 1.30
K4 0.6745 0.4948 0.1930  6 O 2.69-2.86
C2 0.4006 0.0996 0.2498  3 O 1.30-1.32

***

No. 4
Computed, not measured: a geometry-optimized KC3O6 structure at the PBE-GGA level of DFT.

Output
electronic total energy: -7.03 eV per atom

a b c (Å): 4.2180 7.2851 7.2851
angles (deg): 116.37 101.13 101.13
Closest atoms and distances in Å follow each position.
Fractional coordinates of all 10 atoms:
C1 0.9415 0.4466 0.0000  2 O 1.19-1.20
O1 0.8369 0.0000 0.2819  1 C 1.20
C2 0.9415 0.0000 0.4466  2 O 1.19-1.20
O2 0.1278 0.5919 0.0000  1 C 1.19
O3 0.1278 0.0000 0.5919  1 C 1.19
C3 0.4949 0.5534 0.5534  2 O 1.19-1.20
K1 0.2629 0.0000 0.0000  9 O 2.86-2.98
O4 0.8369 0.2819 0.0000  1 C 1.20
O5 0.5359 0.4081 0.4081  1 C 1.19
O6 0.5550 0.7181 0.7181  1 C 1.20